VASP calculation (PBE) on YHo3Sc6 after structural relaxation.

SG: Cmc2_1
Energy relative to the elements (eV/atom): 0.16
Energy (eV/cell): -113.08

Unit cell a=5.847 b=10.390 c=10.390 alpha=119.43 beta=90.00 gamma=90.00
Sites, in units of the cell vectors:
Ho 0.563 0.604 0.396
Ho 0.063 0.396 0.604
Ho 0.470 0.929 0.719
Ho 0.970 0.071 0.281
Ho 0.970 0.719 0.929
Ho 0.470 0.281 0.071
Sc 0.019 0.720 0.615
Sc 0.519 0.615 0.720
Sc 0.860 0.971 0.541
Sc 0.636 0.289 0.711
Sc 0.429 0.953 0.047
Sc 0.136 0.711 0.289
Sc 0.360 0.541 0.971
Sc 0.519 0.280 0.385
Sc 0.360 0.029 0.459
Sc 0.019 0.385 0.280
Sc 0.860 0.459 0.029
Sc 0.929 0.047 0.953
Y 0.659 0.790 0.210
Y 0.159 0.210 0.790